Record 1
VASP calculation (PBE-GGA) on crystalline Nd2YBi3 at its relaxed geometry.

Calculated values
The calculated density is 8.242 Mg/m³. The value obtained for the volume is 33.7 Å³ per atom. The value obtained for the total magnetization is 0.00 μB/f.u. The calculation puts the calculated formation energy at -5.566 eV/f.u.

Cell lengths 7.9115, 7.9115, 7.9115 Å; angles 146.42, 131.78, 60.04 degrees
Closest atoms and distances in Å follow each position.
Element x y z (fractional)
Nd: 0.1679 0.1679 0.0000  6 Bi 3.23-3.26
Nd: 0.8321 0.8321 0.0000  6 Bi 3.23-3.26
Y: 0.5000 0.5000 0.0000  6 Bi 3.19-3.23
Bi: 0.0000 0.5000 0.5000  2 Y 3.23, 4 Nd 3.24
Bi: 0.3376 0.8376 0.5000  2 Y 3.19, 4 Nd 3.23-3.26
Bi: 0.6624 0.1624 0.5000  2 Y 3.19, 4 Nd 3.23-3.26


Record 2
VASP calculation (PBE-GGA) on crystalline BaZrCd at its relaxed geometry.

Calculated values
The calculated density is 5.133 Mg/m³. The value obtained for the volume is 36.8 Å³ per atom. The value obtained for the total magnetization is 2.21 μB/f.u. The calculation puts the calculated formation energy at 1.979 eV/f.u.

Cell lengths 5.3831, 5.3831, 5.3831 Å; angles 60.00, 60.00, 60.00 degrees
Closest atoms and distances in Å follow each position.
Element x y z (fractional)
Ba: 0.0000 0.0000 0.0000  4 Cd 3.30
Zr: 0.5000 0.5000 0.5000  4 Cd 3.30
Cd: 0.2500 0.2500 0.2500  4 Ba 3.30, 4 Zr 3.30


Record 3
VASP calculation (PBE-GGA) on crystalline LiHfSiRh at its relaxed geometry.

Calculated values
The calculated density is 9.017 Mg/m³. The value obtained for the volume is 14.6 Å³ per atom. The value obtained for the total magnetization is 0.00 μB/f.u. The formation energy (no corrections) is -296.4 kJ/mol of formula units.

Cell lengths 4.3517, 4.3517, 4.3517 Å; angles 60.00, 60.00, 60.00 degrees
Closest atoms and distances in Å follow each position.
Element x y z (fractional)
Li: 0.0000 0.0000 0.0000  4 Hf 2.66, 4 Si 2.66
Hf: 0.7500 0.7500 0.7500  4 Li 2.66, 4 Rh 2.66
Si: 0.2500 0.2500 0.2500  4 Rh 2.66, 4 Li 2.66
Rh: 0.5000 0.5000 0.5000  4 Hf 2.66, 4 Si 2.66


Record 4
VASP calculation (PBE-GGA) on crystalline BeSi2Br at its relaxed geometry.

Calculated values
The calculated density is 2.790 Mg/m³. The value obtained for the volume is 21.6 Å³ per atom. The value obtained for the total magnetization is 0.00 μB/f.u. The formation energy (no corrections) is 216.9 kJ/mol of formula units.

Cell lengths 6.8925, 6.8925, 6.8925 Å; angles 132.87, 132.87, 68.86 degrees
Closest atoms and distances in Å follow each position.
Element x y z (fractional)
Be: 0.0000 0.0000 0.0000  4 Si 2.12
Be: 0.7500 0.2500 0.5000  4 Si 2.12
Si: 0.0128 0.6250 0.8878  2 Be 2.12
Si: 0.3750 0.2628 0.3878  2 Be 2.12
Si: 0.7372 0.1250 0.1122  2 Be 2.12
Si: 0.8750 0.9872 0.6122  2 Be 2.12
Br: 0.2500 0.7500 0.5000  4 Si 2.81
Br: 0.5000 0.5000 0.0000  4 Si 2.81


Record 5
VASP calculation (PBE-GGA) on crystalline Pr3DyPa2P6 at its relaxed geometry.

Calculated values
The calculated density is 7.085 Mg/m³. The value obtained for the volume is 24.1 Å³ per atom. The value obtained for the total magnetization is 0.00 μB/f.u. The calculation puts the calculated formation energy at -17.729 eV/f.u.

Cell lengths 7.0549, 7.0549, 7.1049 Å; angles 99.52, 99.52, 120.00 degrees
Closest atoms and distances in Å follow each position.
Element x y z (fractional)
Pr: 0.0000 0.0000 0.0000  6 P 2.93-2.98
Pr: 0.3345 0.6655 0.0000  6 P 2.94-2.98
Pr: 0.6655 0.3345 0.0000  6 P 2.94-2.98
Dy: 0.5000 0.5000 0.5000  6 P 2.85
Pa: 0.1667 0.8333 0.5000  6 P 2.80
Pa: 0.8333 0.1667 0.5000  6 P 2.80
P: 0.0841 0.4229 0.2688  2 Pa 2.80, 1 Dy 2.85, 3 Pr 2.94-2.98
P: 0.2387 0.2387 0.7318  2 Pa 2.80, 1 Dy 2.85, 3 Pr 2.93-2.97
P: 0.4229 0.0841 0.2688  2 Pa 2.80, 1 Dy 2.85, 3 Pr 2.94-2.98
P: 0.5771 0.9159 0.7312  2 Pa 2.80, 1 Dy 2.85, 3 Pr 2.94-2.98
P: 0.7613 0.7613 0.2682  2 Pa 2.80, 1 Dy 2.85, 3 Pr 2.93-2.97
P: 0.9159 0.5771 0.7312  2 Pa 2.80, 1 Dy 2.85, 3 Pr 2.94-2.98


Record 6
VASP calculation (PBE-GGA) on crystalline LaTl2H at its relaxed geometry.

Calculated values
The calculated density is 8.829 Mg/m³. For the final energy, the calculation gives -24.7 eV for the cell shown. The value obtained for the volume is 25.8 Å³ per atom. The value obtained for the total magnetization is 0.00 μB/f.u.

Cell lengths 6.4990, 6.4990, 6.4990 Å; angles 114.82, 114.82, 99.24 degrees
Closest atoms and distances in Å follow each position.
Element x y z (fractional)
La: 0.0000 0.0000 0.0000  8 Tl 3.34-3.71
La: 0.7500 0.2500 0.5000  8 Tl 3.34-3.71
Tl: 0.2532 0.1250 0.6282  2 H 2.21
Tl: 0.3750 0.7468 0.8718  2 H 2.21
Tl: 0.4968 0.6250 0.3718  2 H 2.21
Tl: 0.8750 0.5032 0.1282  2 H 2.21
H: 0.2500 0.7500 0.5000  4 Tl 2.21
H: 0.5000 0.5000 0.0000  4 Tl 2.21


Record 7
VASP calculation (PBE-GGA) on crystalline KV2GeCl8 at its relaxed geometry.

Calculated values
The calculated density is 2.740 Mg/m³. The value obtained for the volume is 25.1 Å³ per atom. The value obtained for the total magnetization is 5.00 μB/f.u. The formation energy (no corrections) is -1334.4 kJ/mol of formula units.

Cell lengths 6.1244, 7.6520, 6.4359 Å; angles 90.00, 92.34, 90.00 degrees
Closest atoms and distances in Å follow each position.
Element x y z (fractional)
K: 0.0000 0.0000 0.0000  6 Cl 2.90-3.06
V: 0.5000 0.2527 0.5000  6 Cl 2.42-2.51
V: 0.5000 0.7473 0.5000  6 Cl 2.42-2.51
Ge: 0.0000 0.5000 0.0000  6 Cl 2.66-2.94
Cl: 0.2740 0.2721 0.1838  1 V 2.42, 1 Ge 2.66
Cl: 0.2740 0.7279 0.1838  1 V 2.42, 1 Ge 2.66
Cl: 0.2799 0.5000 0.6405  2 V 2.51
Cl: 0.2939 0.0000 0.6261  2 V 2.46
Cl: 0.7061 0.0000 0.3739  2 V 2.46
Cl: 0.7201 0.5000 0.3595  2 V 2.51
Cl: 0.7260 0.2721 0.8162  1 V 2.42, 1 Ge 2.66
Cl: 0.7260 0.7279 0.8162  1 V 2.42, 1 Ge 2.66


Record 8
VASP calculation (PBE-GGA) on crystalline Sr2HfSe4 at its relaxed geometry.

Calculated values
The calculated density is 5.534 Mg/m³. The value obtained for the volume is 28.7 Å³ per atom. The value obtained for the total magnetization is 0.00 μB/f.u. The formation energy (no corrections) is -1159.7 kJ/mol of formula units.

Cell lengths 7.7055, 12.4948, 4.1732 Å; angles 90.00, 90.00, 90.00 degrees
Closest atoms and distances in Å follow each position.
Element x y z (fractional)
Sr: 0.0946 0.1812 0.0000  6 Se 3.04-3.30
Sr: 0.4054 0.6812 0.0000  6 Se 3.04-3.30
Sr: 0.5946 0.3188 0.0000  6 Se 3.04-3.30
Sr: 0.9054 0.8188 0.0000  6 Se 3.04-3.30
Hf: 0.0000 0.5000 0.5000  6 Se 2.65-2.77
Hf: 0.5000 0.0000 0.5000  6 Se 2.65-2.77
Se: 0.1195 0.6987 0.5000  1 Hf 2.65
Se: 0.2226 0.4501 0.0000  2 Hf 2.77
Se: 0.2774 0.9501 0.0000  2 Hf 2.77
Se: 0.3805 0.1987 0.5000  1 Hf 2.65
Se: 0.6195 0.8013 0.5000  1 Hf 2.65
Se: 0.7226 0.0499 0.0000  2 Hf 2.77
Se: 0.7774 0.5499 0.0000  2 Hf 2.77
Se: 0.8805 0.3013 0.5000  1 Hf 2.65


Record 9
VASP calculation (PBE-GGA) on crystalline CeErCuOs at its relaxed geometry.

Calculated values
The calculated density is 11.382 Mg/m³. The value obtained for the volume is 20.5 Å³ per atom. The value obtained for the total magnetization is 0.00 μB/f.u. The calculation puts the calculated formation energy at -0.822 eV/f.u.

Cell lengths 4.8738, 4.8738, 4.8738 Å; angles 60.00, 60.00, 60.00 degrees
Closest atoms and distances in Å follow each position.
Element x y z (fractional)
Ce: 0.0000 0.0000 0.0000  4 Os 2.98, 4 Cu 2.98
Er: 0.5000 0.5000 0.5000  4 Os 2.98, 4 Cu 2.98
Cu: 0.2500 0.2500 0.2500  4 Ce 2.98, 4 Er 2.98
Os: 0.7500 0.7500 0.7500  4 Ce 2.98, 4 Er 2.98


Record 10
VASP calculation (PBE-GGA) on crystalline Ce2InOs at its relaxed geometry.

Calculated values
The calculated density is 9.555 Mg/m³. The value obtained for the volume is 25.4 Å³ per atom. The value obtained for the total magnetization is 0.66 μB/f.u. The calculation puts the calculated formation energy at -1.144 eV/f.u.

Cell lengths 7.2400, 7.2400, 7.6342 Å; angles 92.55, 92.55, 30.59 degrees
Closest atoms and distances in Å follow each position.
Element x y z (fractional)
Ce: 0.0456 0.0456 0.2976  4 Os 2.93-3.04
Ce: 0.2335 0.2335 0.6982  2 Os 2.76
Ce: 0.7665 0.7665 0.3018  2 Os 2.76
Ce: 0.9544 0.9544 0.7024  4 Os 2.93-3.04
In: 0.3930 0.3930 0.0409  1 Os 2.95, 1 In 3.08
In: 0.6070 0.6070 0.9591  1 Os 2.95, 1 In 3.08
Os: 0.3948 0.3948 0.4275  6 Ce 2.76-3.04, 1 In 2.95
Os: 0.6052 0.6052 0.5725  6 Ce 2.76-3.04, 1 In 2.95


Record 11
VASP calculation (PBE-GGA) on crystalline ThSnHgTe at its relaxed geometry.

Calculated values
The calculated density is 10.219 Mg/m³. The value obtained for the volume is 27.6 Å³ per atom. The value obtained for the total magnetization is 0.00 μB/f.u. The formation energy (no corrections) is -197.1 kJ/mol of formula units.

Cell lengths 4.8660, 4.8660, 9.3192 Å; angles 90.00, 90.00, 90.00 degrees
Closest atoms and distances in Å follow each position.
Element x y z (fractional)
Th: 0.2500 0.2500 0.2271  4 Te 3.22, 4 Sn 3.51, 4 Hg 3.52
Th: 0.7500 0.7500 0.7729  4 Te 3.22, 4 Sn 3.51, 4 Hg 3.52
Sn: 0.2500 0.2500 0.6996  4 Hg 3.06
Sn: 0.7500 0.7500 0.3004  4 Hg 3.06
Hg: 0.2500 0.7500 0.5000  4 Sn 3.06
Hg: 0.7500 0.2500 0.5000  4 Sn 3.06
Te: 0.2500 0.7500 0.0000  4 Th 3.22, 4 Te 3.44
Te: 0.7500 0.2500 0.0000  4 Th 3.22, 4 Te 3.44


Record 12
VASP calculation (PBE-GGA) on crystalline La2Au at its relaxed geometry.

Calculated values
The calculated density is 7.819 Mg/m³. The value obtained for the volume is 33.6 Å³ per atom. The value obtained for the total magnetization is 0.15 μB/f.u. The calculation puts the calculated formation energy at -1.129 eV/f.u.

Cell lengths 5.2244, 5.2244, 5.2244 Å; angles 60.00, 60.00, 60.00 degrees
Closest atoms and distances in Å follow each position.
Element x y z (fractional)
La: 0.2500 0.2500 0.2500  4 Au 3.20
La: 0.7500 0.7500 0.7500  4 Au 3.20
Au: 0.0000 0.0000 0.0000  8 La 3.20